Entry from the Alexandria database: crystalline Cu2HAu at its relaxed geometry (PBE).

Unit cell a=4.191 b=4.191 c=4.191 alpha=60.00 beta=60.00 gamma=60.00
Positions (direct):
Cu 0.250 0.250 0.250
Cu 0.750 0.750 0.750
H 0.000 0.000 0.000
Au 0.500 0.500 0.500

Values from the calculation:
Its space group is Fm-3m (225). As for the total energy: -3.120 eV per atom. Its volume is 13.02 Å³ per atom.


Entry from the Alexandria database: crystalline AcHo4Hg5 at its relaxed geometry (PBE).

Unit cell a=3.748 b=3.748 c=19.102 alpha=90.00 beta=90.00 gamma=90.00
Positions (direct):
Ac 0.000 0.000 0.000
Ho 0.000 0.000 0.212
Ho 0.000 0.000 0.404
Ho 0.000 0.000 0.596
Ho 0.000 0.000 0.788
Hg 0.500 0.500 0.121
Hg 0.500 0.500 0.308
Hg 0.500 0.500 0.500
Hg 0.500 0.500 0.692
Hg 0.500 0.500 0.879

Values from the calculation:
Its space group is P4/mmm (123). As for the total energy: -2.862 eV per atom. Its volume is 26.84 Å³ per atom. The calculation puts the formation energy at -469 meV per atom.


Entry from the Alexandria database: crystalline Ac2In3Ag4Sn at its relaxed geometry (PBE).

Unit cell a=4.783 b=4.783 c=11.413 alpha=90.00 beta=90.00 gamma=90.00
Positions (direct):
Ac 0.000 0.500 0.244
Ac 0.500 0.000 0.756
In 0.000 0.500 0.873
In 0.500 0.000 0.127
In 0.500 0.500 0.500
Ag 0.000 0.000 0.000
Ag 0.000 0.500 0.635
Ag 0.500 0.000 0.365
Ag 0.500 0.500 0.000
Sn 0.000 0.000 0.500

Values from the calculation:
Its space group is P-4m2 (115). As for the total energy: -3.517 eV per atom. Its volume is 26.11 Å³ per atom. The calculation puts the formation energy at -333 meV per atom.


Entry from the Alexandria database: crystalline Y2HfTh at its relaxed geometry (PBE).

Unit cell a=12.098 b=12.098 c=12.098 alpha=16.13 beta=16.13 gamma=16.13
Positions (direct):
Y 0.087 0.087 0.087
Y 0.913 0.913 0.913
Hf 0.000 0.000 0.000
Th 0.500 0.500 0.500

Values from the calculation:
Its space group is R-3m (166). As for the total energy: -7.195 eV per atom. Its volume is 29.78 Å³ per atom. The calculation puts the formation energy at 381 meV per atom.


Entry from the Alexandria database: crystalline Th4Bi2IrSe at its relaxed geometry (PBE).

Unit cell a=7.641 b=4.266 c=7.883 alpha=90.00 beta=108.76 gamma=90.00
Positions (direct):
Th 0.216 0.000 0.210
Th 0.253 0.500 0.781
Th 0.747 0.500 0.219
Th 0.784 0.000 0.790
Bi 0.000 0.000 0.500
Bi 0.500 0.500 0.500
Ir 0.000 0.500 0.000
Se 0.500 0.000 0.000

Values from the calculation:
Its space group is P2/m (10). As for the total energy: -7.171 eV per atom. The calculation puts the uncorrected formation energy at -732 kJ/mol of formula units. Its volume is 30.41 Å³ per atom.